First-principles (PBE-GGA) data for a relaxed MnReAg2B crystal, as listed in Alexandria.

abc: 4.8631 4.3675 4.8631
angles: 90.00 90.00 90.00
Site moments in Bohr magnetons follow the coordinates.
Atoms (fractional coordinates):
1 B 0.5000 0.5000 0.5000  0.02
2 Ag 0.5000 0.0000 0.0000  0.04
3 Ag 0.0000 0.0000 0.5000  0.13
4 Mn 0.0000 0.0000 0.0000  2.38
5 Re 0.0000 0.5000 0.0000  -1.38

Space group: P4/mmm, No. 123
Formation energy in eV/atom: 2.192
DOS(E_F) in states/eV/f.u.: 4.57